# 1
The following is a DFT calculation (PBE) of crystalline TaAl2P at its relaxed geometry.

Cell and atoms, written as extended XYZ:
```
4
Lattice="0.0000 3.1687 3.1687 3.1687 0.0000 3.1687 3.1687 3.1687 0.0000" Properties=species:S:1:pos:R:3 pbc="T T T"
Ta 0.0000 0.0000 0.0000
Al 1.5844 1.5844 1.5844
Al 3.1687 3.1687 3.1687
P 4.7531 4.7531 4.7531
```

Output
crystal system	cubic
DFT total energy	-23.88	eV per cell
energy of formation	0.86	eV per formula unit
theoretical density	6938	kg/m³
symmetry	No. 216
total magnetization	0.00	μB per formula unit

=====

# 2
The following is a DFT calculation (PBE) of crystalline Ta2AlP at its relaxed geometry.

Cell and atoms, written as extended XYZ:
```
4
Lattice="0.0000 3.1711 3.1711 3.1711 0.0000 3.1711 3.1711 3.1711 0.0000" Properties=species:S:1:pos:R:3 pbc="T T T"
Ta 1.5856 1.5856 1.5856
Ta 4.7567 4.7567 4.7567
Al 0.0000 0.0000 0.0000
P 3.1711 3.1711 3.1711
```

Output
crystal system	cubic
distance to the lowest polymorph of the same formula	351.7	meV/atom
DFT total energy	-32.76	eV per cell
energy of formation	0.09	eV per formula unit
theoretical density	10931	kg/m³
symmetry	No. 225
total magnetization	0.00	μB per formula unit

=====

# 3
The following is a DFT calculation (PBE) of crystalline Ta2AlP at its relaxed geometry.

Cell and atoms, written as extended XYZ:
```
4
Lattice="1.5729 0.9081 7.9516 -1.5729 0.9081 7.9516 0.0000 -1.8162 7.9516" Properties=species:S:1:pos:R:3 pbc="T T T"
Ta 0.0000 0.0000 5.6973
Ta 0.0000 0.0000 18.1574
Al 0.0000 0.0000 0.0000
P 0.0000 0.0000 11.9274
```

Output
crystal system	trigonal
distance to the lowest polymorph of the same formula	145.3	meV/atom
DFT total energy	-33.59	eV per cell
energy of formation	-0.73	eV per formula unit
theoretical density	10231	kg/m³
symmetry	No. 166
total magnetization	0.00	μB per formula unit